No. 1
Crystalline CoCl2 at its relaxed geometry. Source: OQMD, functional PBE-GGA.

Cell lengths 6.9734, 6.9734, 6.9734 Å; angles 27.70, 27.70, 27.70 degrees
With the nearest neighbours (Å) after each atom.
Element x y z (fractional)
Cl  0.2592  0.2592  0.2592  3 Co 2.44
Cl  0.4076  0.4076  0.4076  3 Co 2.44
Co  0.0000  0.0000  0.0000  6 Cl 2.44

Computed properties:
V	21.56	Å³ per atom
SG	R3m, No. 160
calculated total energy	-3.99	eV per atom

No. 2
Crystalline CoCl4 at its relaxed geometry. Source: OQMD, functional PBE-GGA.

Cell lengths 5.8069, 5.8069, 3.2956 Å; angles 90.00, 90.00, 95.99 degrees
With the nearest neighbours (Å) after each atom.
Element x y z (fractional)
Cl  0.2817  0.2817  0.0000  1 Co 2.19
Cl  0.7183  0.7183  0.0000  1 Co 2.19
Cl  0.8212  0.1788  0.5000  2 Co 2.26
Cl  0.1788  0.8212  0.5000  2 Co 2.26
Co  0.0000  0.0000  0.0000  6 Cl 2.19-2.26

Computed properties:
V	22.10	Å³ per atom
SG	Cmmm, No. 65
calculated total energy	-3.24	eV per atom

No. 3
Crystalline Co3Cl at its relaxed geometry. Source: OQMD, functional PBE-GGA.

Cell lengths 4.7191, 4.7191, 4.7191 Å; angles 135.97, 135.97, 64.03 degrees
With the nearest neighbours (Å) after each atom.
Element x y z (fractional)
Cl  0.0000  0.0000  0.0000  12 Co 2.50-2.67
Co  0.5000  0.5000  0.0000  4 Cl 2.50, 8 Co 2.67
Co  0.7500  0.2500  0.5000  8 Co 2.50-2.67, 4 Cl 2.67
Co  0.2500  0.7500  0.5000  8 Co 2.50-2.67, 4 Cl 2.67

Computed properties:
ΔE to the lowest computed polymorph	0.104	eV/atom
V	12.52	Å³ per atom
SG	I4/mmm, No. 139

No. 4
Crystalline CoCl3 at its relaxed geometry. Source: OQMD, functional PBE-GGA.

Cell lengths 4.2719, 4.2719, 4.2719 Å; angles 90.00, 90.00, 90.00 degrees
With the nearest neighbours (Å) after each atom.
Element x y z (fractional)
Cl  0.5000  0.5000  0.0000  8 Cl 3.02, 4 Co 3.02
Cl  0.5000  0.0000  0.5000  8 Cl 3.02, 4 Co 3.02
Cl  0.0000  0.5000  0.5000  8 Cl 3.02, 4 Co 3.02
Co  0.0000  0.0000  0.0000  12 Cl 3.02

Computed properties:
V	19.49	Å³ per atom
SG	Pm-3m, No. 221
calculated total energy	-2.44	eV per atom

Look up the V of the fourth one. 19.49 Å³ per atom

Which of these has the lowest V? Co3Cl

Among the records above, which one has the lowest V? Co3Cl